Entry 1:
# BeSbSe (PBE, relaxed)
# Relative energy among the computed polymorphs, eV/f.u.: 1.120
# D(E_F), states/eV/f.u.: 2.1
# Theoretical density, g/cm³: 5.54
# Formation energy without anion corrections, meV per atom: -29
# Size of the total moment, μB/f.u.: 0.0
data_BeSbSe
_chemical_formula_sum 'Be1 Sb1 Se1'
_cell_length_a 3.4977
_cell_length_b 3.4977
_cell_length_c 5.9326
_cell_angle_alpha 90.00
_cell_angle_beta 90.00
_cell_angle_gamma 120.00
_space_group_name_H-M_alt 'P 3 m 1'
_space_group_IT_number 156
loop_
_space_group_symop_operation_xyz
'x,y,z'
'-y,x-y,z'
'-x+y,-x,z'
'-y,-x,z'
'-x+y,y,z'
'x,x-y,z'
loop_
_atom_site_label
_atom_site_type_symbol
_atom_site_fract_x
_atom_site_fract_y
_atom_site_fract_z
Be1 Be 0.0000 0.0000 0.0000
Sb1 Sb 0.6667 0.3333 0.3632
Se1 Se 0.3333 0.6667 0.8593



Entry 2:
# Be2SbSe (PBE, relaxed)
# Relative energy among the computed polymorphs, eV/f.u.: 1.059
# D(E_F), states/eV/f.u.: 0.6
# Theoretical density, g/cm³: 4.07
# Formation energy without anion corrections, meV per atom: 13
# Size of the total moment, μB/f.u.: 0.0
data_Be2SbSe
_chemical_formula_sum 'Be4 Sb2 Se2'
_cell_length_a 3.950
_cell_length_b 5.962
_cell_length_c 7.575
_cell_angle_alpha 90.00
_cell_angle_beta 90.00
_cell_angle_gamma 90.00
_space_group_name_H-M_alt 'C m m 2'
_space_group_IT_number 35
loop_
_space_group_symop_operation_xyz
'x,y,z'
'-x,-y,z'
'-x,y,z'
'x,-y,z'
'x+1/2,y+1/2,z'
'-x+1/2,-y+1/2,z'
'-x+1/2,y+1/2,z'
'x+1/2,-y+1/2,z'
loop_
_atom_site_label
_atom_site_type_symbol
_atom_site_fract_x
_atom_site_fract_y
_atom_site_fract_z
Be1 Be 0.000 0.000 0.000
Be2 Be 0.000 0.500 0.151
Sb1 Sb 0.000 0.000 0.338
Se1 Se 0.000 0.500 0.865



Copy entry 2 word for word.
# Be2SbSe (PBE, relaxed)
# Relative energy among the computed polymorphs, eV/f.u.: 1.059
# D(E_F), states/eV/f.u.: 0.6
# Theoretical density, g/cm³: 4.07
# Formation energy without anion corrections, meV per atom: 13
# Size of the total moment, μB/f.u.: 0.0
data_Be2SbSe
_chemical_formula_sum 'Be4 Sb2 Se2'
_cell_length_a 3.950
_cell_length_b 5.962
_cell_length_c 7.575
_cell_angle_alpha 90.00
_cell_angle_beta 90.00
_cell_angle_gamma 90.00
_space_group_name_H-M_alt 'C m m 2'
_space_group_IT_number 35
loop_
_space_group_symop_operation_xyz
'x,y,z'
'-x,-y,z'
'-x,y,z'
'x,-y,z'
'x+1/2,y+1/2,z'
'-x+1/2,-y+1/2,z'
'-x+1/2,y+1/2,z'
'x+1/2,-y+1/2,z'
loop_
_atom_site_label
_atom_site_type_symbol
_atom_site_fract_x
_atom_site_fract_y
_atom_site_fract_z
Be1 Be 0.000 0.000 0.000
Be2 Be 0.000 0.500 0.151
Sb1 Sb 0.000 0.000 0.338
Se1 Se 0.000 0.500 0.865



formation energy without anion corrections of number 1 (BeSbSe)? -29 meV per atom



Number 2 is which compound? Be2SbSe